Record 1
TlCrSnS2: PBEsol geometry, meta-GGA SCAN.

Crystal system   tetragonal
Formation energy (no corrections)   101 meV per atom
Total DFT energy (no corrections)   -1.0688 hartree per atom
Total moment   0.461 μB per atom
Space-group type   P4/mmm, No. 123

a b c (Å): 4.366 4.366 5.482
angles (deg): 90.00 90.00 90.00
Fractional coordinates of all 5 atoms:
1 S 0.000 0.500 0.000
2 S 0.500 0.000 0.000
3 Cr 0.000 0.000 0.000
4 Tl 0.000 0.000 0.500
5 Sn 0.500 0.500 0.500

=====

Record 2
TaCrS2: PBEsol geometry, meta-GGA SCAN.

Crystal system   trigonal
Formation energy (no corrections)   -245 meV per atom
Total DFT energy (no corrections)   -0.9665 hartree per atom
Total moment   0.000 μB per atom
Space-group type   R-3m, No. 166

a b c (Å): 2.929 2.929 8.128
angles (deg): 79.62 79.62 60.00
Fractional coordinates of all 4 atoms:
1 Cr 0.500 0.500 0.500
2 S 0.897 0.897 0.309
3 S 0.103 0.103 0.691
4 Ta 0.000 0.000 0.000

=====

Record 3
Zr2TaCrS: PBEsol geometry, meta-GGA SCAN.

Crystal system   tetragonal
Formation energy (no corrections)   804 meV per atom
Total DFT energy (no corrections)   -1.1170 hartree per atom
Total moment   0.834 μB per atom
Space-group type   P4/mmm, No. 123

a b c (Å): 4.553 5.126 5.126
angles (deg): 90.00 90.00 90.00
Fractional coordinates of all 5 atoms:
1 Cr 0.500 0.500 0.500
2 S 0.500 0.000 0.000
3 Zr 0.000 0.000 0.500
4 Zr 0.000 0.500 0.000
5 Ta 0.000 0.000 0.000

=====

Record 4
CrTe2S: PBEsol geometry, meta-GGA SCAN.

Crystal system   trigonal
Formation energy (no corrections)   -47 meV per atom
Total DFT energy (no corrections)   -0.9436 hartree per atom
Total moment   0.691 μB per atom
Space-group type   R-3m, No. 166

a b c (Å): 3.865 3.865 8.258
angles (deg): 76.47 76.47 60.00
Fractional coordinates of all 4 atoms:
1 Cr 0.500 0.500 0.500
2 S 0.000 0.000 0.000
3 Te 0.895 0.895 0.316
4 Te 0.105 0.105 0.684

=====

Record 5
Tl2V9CrS16: PBEsol geometry, meta-GGA SCAN.

Crystal system   monoclinic
Formation energy (no corrections)   -1041 meV per atom
Total DFT energy (no corrections)   -0.6611 hartree per atom
Total moment   0.018 μB per atom
Space-group type   P2/m, No. 10

a b c (Å): 3.196 8.375 17.044
angles (deg): 104.20 90.00 90.00
Fractional coordinates of all 28 atoms:
1 Tl 0.500 0.000 0.000
2 Tl 0.000 0.500 0.500
3 V 0.500 0.352 0.211
4 V 0.000 0.852 0.711
5 V 0.000 0.148 0.289
6 V 0.500 0.648 0.789
7 V 0.500 0.648 0.145
8 V 0.000 0.149 0.646
9 V 0.000 0.851 0.354
10 V 0.500 0.352 0.855
11 V 0.000 0.500 0.000
12 Cr 0.500 0.000 0.500
13 S 0.500 0.734 0.416
14 S 0.000 0.231 0.915
15 S 0.000 0.769 0.085
16 S 0.500 0.266 0.584
17 S 0.500 0.918 0.258
18 S 0.000 0.417 0.758
19 S 0.000 0.583 0.242
20 S 0.500 0.082 0.742
21 S 0.500 0.343 0.342
22 S 0.000 0.843 0.842
23 S 0.000 0.157 0.158
24 S 0.500 0.657 0.658
25 S 0.500 0.387 0.073
26 S 0.000 0.890 0.571
27 S 0.000 0.110 0.429
28 S 0.500 0.613 0.927

=====

Record 6
Tm3CrS6: PBEsol geometry, meta-GGA SCAN.

Crystal system   orthorhombic
Formation energy (no corrections)   -2032 meV per atom
Total DFT energy (no corrections)   -0.9260 hartree per atom
Total moment   0.300 μB per atom
Space-group type   Pnnm, No. 58

a b c (Å): 3.675 12.963 15.552
angles (deg): 90.00 90.00 90.00
Fractional coordinates of all 40 atoms:
1 Tm 0.000 0.552 0.278
2 Tm 0.000 0.448 0.722
3 Tm 0.500 0.948 0.778
4 Tm 0.500 0.052 0.222
5 Tm 0.000 0.759 0.097
6 Tm 0.000 0.241 0.903
7 Tm 0.500 0.741 0.597
8 Tm 0.500 0.259 0.403
9 Tm 0.000 0.320 0.148
10 Tm 0.000 0.680 0.852
11 Tm 0.500 0.180 0.648
12 Tm 0.500 0.820 0.352
13 Cr 0.000 0.000 0.500
14 Cr 0.500 0.500 0.000
15 Cr 0.000 0.000 0.000
16 Cr 0.500 0.500 0.500
17 S 0.000 0.122 0.108
18 S 0.000 0.878 0.892
19 S 0.500 0.378 0.608
20 S 0.500 0.622 0.392
21 S 0.000 0.190 0.290
22 S 0.000 0.810 0.710
23 S 0.500 0.310 0.790
24 S 0.500 0.690 0.210
25 S 0.000 0.182 0.520
26 S 0.000 0.818 0.480
27 S 0.500 0.318 0.020
28 S 0.500 0.682 0.980
29 S 0.000 0.524 0.098
30 S 0.000 0.476 0.902
31 S 0.500 0.976 0.598
32 S 0.500 0.024 0.402
33 S 0.000 0.102 0.755
34 S 0.000 0.898 0.245
35 S 0.500 0.398 0.255
36 S 0.500 0.602 0.745
37 S 0.000 0.419 0.423
38 S 0.000 0.581 0.577
39 S 0.500 0.081 0.923
40 S 0.500 0.919 0.077

=====

Record 7
VCr2S4: PBEsol geometry, meta-GGA SCAN.

Crystal system   monoclinic
Formation energy (no corrections)   -1034 meV per atom
Total DFT energy (no corrections)   -0.5250 hartree per atom
Total moment   0.397 μB per atom
Space-group type   Cm, No. 8
Polymorph energy (0 for the lowest one)   76 meV/atom

a b c (Å): 3.207 5.735 6.203
angles (deg): 114.41 104.98 90.00
Fractional coordinates of all 7 atoms:
1 Cr 0.741 0.684 0.482
2 Cr 0.000 0.000 0.000
3 S 0.360 0.019 0.720
4 S 0.640 0.974 0.279
5 S 0.108 0.454 0.216
6 S 0.894 0.555 0.787
7 V 0.258 0.314 0.516

=====

Record 8
VCr2S4: PBEsol geometry, meta-GGA SCAN.

Crystal system   monoclinic
Formation energy (no corrections)   -1110 meV per atom
Total DFT energy (no corrections)   -0.5278 hartree per atom
Total moment   1.000 μB per atom
Space-group type   C2/m, No. 12
Polymorph energy (0 for the lowest one)   0 meV/atom

a b c (Å): 3.338 5.955 6.345
angles (deg): 117.29 105.25 90.00
Fractional coordinates of all 7 atoms:
1 Cr 0.742 0.723 0.484
2 Cr 0.258 0.277 0.516
3 S 0.879 0.551 0.758
4 S 0.121 0.449 0.242
5 S 0.633 0.969 0.266
6 S 0.367 0.031 0.734
7 V 0.000 0.000 0.000

=====

total DFT energy (no corrections) of number 4 (CrTe2S)? -0.9436 hartree per atom

=====

Which formula does entry 2 have? TaCrS2